LiCaSe2Br | PBE | optimized geometry

Cell and atoms, written as POSCAR:
```
LiCaSe2Br
1.0
-0.585 -1.854 -4.184
-1.139 -4.027 1.943
-5.452 1.574 0.066
Ca Se Br Li
1 2 1 1
direct
0.500 0.500 0.500
0.000 0.500 0.000
0.500 0.000 0.000
0.000 0.000 0.500
0.000 0.000 0.000
```

ΔE_f (raw): -880 meV per atom
Volume: 120.8 Å³/f.u.
Size of the total moment: 0.000 μB/atom